[1]
Here is a relaxed structure of TbSc5Ni4 from the Alexandria database. Energies are from PBE-GGA.

Values from the calculation:
As for the space group: No. 123. The formation energy from the elements comes out at -0.3780 eV/atom.

a b c (Å): 3.2048 3.2048 17.7988
angles (deg): 90.00 90.00 90.00
Atoms (fractional coordinates):
Tb1 0.0000 0.0000 0.0000
Sc1 0.5000 0.5000 0.1494
Sc2 0.5000 0.5000 0.3233
Sc3 0.5000 0.5000 0.5000
Sc4 0.5000 0.5000 0.6767
Sc5 0.5000 0.5000 0.8506
Ni1 0.0000 0.0000 0.2345
Ni2 0.0000 0.0000 0.4115
Ni3 0.0000 0.0000 0.5885
Ni4 0.0000 0.0000 0.7655



[2]
Here is a relaxed structure of TbSc2Ni from the Alexandria database. Energies are from PBE-GGA.

Values from the calculation:
As for the relative energy among the computed polymorphs: 5.0 kJ per mole of atoms. As for the space group: No. 123. The formation energy from the elements comes out at -0.2019 eV/atom.

a b c (Å): 3.2501 3.2501 8.2760
angles (deg): 90.00 90.00 90.00
Atoms (fractional coordinates):
Tb1 0.0000 0.0000 0.0000
Sc1 0.5000 0.5000 0.3170
Sc2 0.5000 0.5000 0.6830
Ni1 0.0000 0.0000 0.5000



[3]
Here is a relaxed structure of TbSc2Ni from the Alexandria database. Energies are from PBE-GGA.

Values from the calculation:
As for the relative energy among the computed polymorphs: 1.6 kJ per mole of atoms. As for the space group: No. 63. The formation energy from the elements comes out at -0.2374 eV/atom.

a b c (Å): 6.0045 6.0045 7.0850
angles (deg): 90.00 90.00 135.67
Atoms (fractional coordinates):
Tb1 0.0475 0.9525 0.7500
Tb2 0.9525 0.0475 0.2500
Sc1 0.3427 0.6573 0.5377
Sc2 0.3427 0.6573 0.9623
Sc3 0.6573 0.3427 0.0377
Sc4 0.6573 0.3427 0.4623
Ni1 0.1985 0.8015 0.2500
Ni2 0.8015 0.1985 0.7500



[4]
Here is a relaxed structure of TbScNi2 from the Alexandria database. Energies are from PBE-GGA.

Values from the calculation:
As for the relative energy among the computed polymorphs: 0.0 kJ per mole of atoms. As for the space group: No. 6. The formation energy from the elements comes out at -0.4428 eV/atom.

a b c (Å): 3.6126 4.1306 5.2733
angles (deg): 90.00 110.13 90.00
Atoms (fractional coordinates):
Tb1 0.0000 0.0000 0.0000
Sc1 0.2797 0.5000 0.5596
Ni1 0.5753 0.5000 0.1512
Ni2 0.7202 0.0000 0.4413



[5]
Here is a relaxed structure of TbSc2Ni3 from the Alexandria database. Energies are from PBE-GGA.

Values from the calculation:
As for the space group: No. 123. The formation energy from the elements comes out at -0.4456 eV/atom.

a b c (Å): 3.2328 3.2328 9.7853
angles (deg): 90.00 90.00 90.00
Atoms (fractional coordinates):
Tb1 0.0000 0.0000 0.0000
Sc1 0.0000 0.0000 0.3406
Sc2 0.0000 0.0000 0.6594
Ni1 0.5000 0.5000 0.1899
Ni2 0.5000 0.5000 0.5000
Ni3 0.5000 0.5000 0.8101



[6]
Here is a relaxed structure of Tb3ScNi8 from the Alexandria database. Energies are from PBE-GGA.

Values from the calculation:
As for the space group: No. 160. The formation energy from the elements comes out at -0.4503 eV/atom.

a b c (Å): 8.7326 8.7326 8.7326
angles (deg): 33.46 33.46 33.46
Atoms (fractional coordinates):
Tb1 0.0000 0.0000 0.0000
Tb2 0.1261 0.1261 0.1261
Tb3 0.6214 0.6214 0.6214
Sc1 0.4977 0.4977 0.4977
Ni1 0.0601 0.0601 0.5601
Ni2 0.0601 0.5601 0.0601
Ni3 0.0647 0.5619 0.5619
Ni4 0.3114 0.3114 0.3114
Ni5 0.5601 0.0601 0.0601
Ni6 0.5619 0.0647 0.5619
Ni7 0.5619 0.5619 0.0647
Ni8 0.8117 0.8117 0.8117



[7]
Here is a relaxed structure of Tb2ScNi9 from the Alexandria database. Energies are from PBE-GGA.

Values from the calculation:
As for the space group: No. 166. The formation energy from the elements comes out at -0.3805 eV/atom.

a b c (Å): 8.6085 8.6085 8.6085
angles (deg): 33.12 33.12 33.12
Atoms (fractional coordinates):
Tb1 0.1373 0.1373 0.1373
Tb2 0.8627 0.8627 0.8627
Sc1 0.0000 0.0000 0.0000
Ni1 0.0803 0.5812 0.5812
Ni2 0.3331 0.3331 0.3331
Ni3 0.4188 0.4188 0.9197
Ni4 0.4188 0.9197 0.4188
Ni5 0.5000 0.5000 0.5000
Ni6 0.5812 0.0803 0.5812
Ni7 0.5812 0.5812 0.0803
Ni8 0.6669 0.6669 0.6669
Ni9 0.9197 0.4188 0.4188



[8]
Here is a relaxed structure of TbSc2Ni from the Alexandria database. Energies are from PBE-GGA.

Values from the calculation:
As for the relative energy among the computed polymorphs: 0.0 kJ per mole of atoms. As for the space group: No. 62. The formation energy from the elements comes out at -0.2536 eV/atom.

a b c (Å): 6.5268 9.1648 6.0102
angles (deg): 90.00 90.00 90.00
Atoms (fractional coordinates):
Tb1 0.0215 0.2500 0.1299
Tb2 0.4785 0.7500 0.6299
Tb3 0.5215 0.2500 0.3701
Tb4 0.9785 0.7500 0.8701
Sc1 0.1739 0.0636 0.6789
Sc2 0.1739 0.4364 0.6789
Sc3 0.3261 0.5636 0.1789
Sc4 0.3261 0.9364 0.1789
Sc5 0.6739 0.0636 0.8211
Sc6 0.6739 0.4364 0.8211
Sc7 0.8261 0.5636 0.3211
Sc8 0.8261 0.9364 0.3211
Ni1 0.1066 0.7500 0.4273
Ni2 0.3934 0.2500 0.9273
Ni3 0.6066 0.7500 0.0727
Ni4 0.8934 0.2500 0.5727